No. 1
First-principles (PBE-GGA) data for an optimized crystal structure of FeCuSbOs, as listed in OQMD via LeMat-Bulk.

Lattice parameters (Å, degrees): 6.210 6.210 6.210 90.00 90.00 90.00
Space group F-43m (No. 216)
Inequivalent atoms, fractional coordinates:
Fe  0.000  0.000  0.000 [4 per cell]
Cu  0.250  0.250  0.750 [4 per cell]
Sb  0.000  0.000  0.500 [4 per cell]
Os  0.250  0.250  0.250 [4 per cell]

calculated total energy = -6.462 eV/atom
energy above the lowest structure with this stoichiometry = 0.00 eV/f.u.

***

No. 2
First-principles (PBE-GGA) data for an optimized crystal structure of RbLiMoPt, as listed in OQMD via LeMat-Bulk.

Lattice parameters (Å, degrees): 6.650 6.650 6.650 90.00 90.00 90.00
Space group F-43m (No. 216)
Inequivalent atoms, fractional coordinates:
Rb  0.000  0.000  0.000 [4 per cell]
Li  0.250  0.250  0.750 [4 per cell]
Mo  0.250  0.250  0.250 [4 per cell]
Pt  0.000  0.000  0.500 [4 per cell]

calculated total energy = -4.045 eV/atom
energy above the lowest structure with this stoichiometry = 0.00 eV/f.u.

***

Which value of energy above the lowest structure with this stoichiometry does entry 2 give? 0.00 eV/f.u.